VASP calculation (PBE) on a geometry-optimized NdThCuPd structure.

a b c (Å): 5.106 5.106 5.106
angles (deg): 60.00 60.00 60.00
Fractional coordinates of all 4 atoms:
Nd 0.000 0.000 0.000
Th 0.500 0.500 0.500
Cu 0.250 0.250 0.250
Pd 0.750 0.750 0.750

E above lowest polymorph (meV per atom): 77
Energy relative to the elements (eV per atom): -0.370


VASP calculation (PBE) on a geometry-optimized Pm5CN2 structure.

a b c (Å): 6.504 6.504 11.871
angles (deg): 90.00 90.00 133.89
Fractional coordinates of all 16 atoms:
Pm 0.054 0.946 0.618
Pm 0.054 0.946 0.882
Pm 0.251 0.749 0.250
Pm 0.333 0.667 0.565
Pm 0.333 0.667 0.935
Pm 0.667 0.333 0.065
Pm 0.667 0.333 0.435
Pm 0.749 0.251 0.750
Pm 0.946 0.054 0.118
Pm 0.946 0.054 0.382
C 0.215 0.785 0.750
C 0.785 0.215 0.250
N 0.160 0.840 0.055
N 0.160 0.840 0.445
N 0.840 0.160 0.555
N 0.840 0.160 0.945

Formation energy (no corrections) (eV/atom): -0.62


VASP calculation (PBE) on a geometry-optimized Al4InAs structure.

a b c (Å): 5.475 5.475 5.475
angles (deg): 60.00 60.00 60.00
Fractional coordinates of all 6 atoms:
Al 0.124 0.124 0.124
Al 0.124 0.124 0.627
Al 0.124 0.627 0.124
Al 0.627 0.124 0.124
In 0.500 0.500 0.500
As 0.750 0.750 0.750

Energy relative to the elements (eV per atom): 0.229


VASP calculation (PBE) on a geometry-optimized Cr2NiBr structure.

a b c (Å): 4.414 4.414 7.107
angles (deg): 121.94 121.94 39.38
Fractional coordinates of all 4 atoms:
Cr 0.226 0.226 0.375
Cr 0.774 0.774 0.625
Ni 0.000 0.000 0.500
Br 0.500 0.500 0.000

E above lowest polymorph (meV per atom): 166
Formation energy (no corrections) (eV/atom): 0.53


VASP calculation (PBE) on a geometry-optimized Dy4CdIn2Ga structure.

a b c (Å): 9.059 9.059 9.059
angles (deg): 33.71 33.71 33.71
Fractional coordinates of all 8 atoms:
Dy 0.120 0.120 0.120
Dy 0.371 0.371 0.371
Dy 0.629 0.629 0.629
Dy 0.880 0.880 0.880
Cd 0.500 0.500 0.500
In 0.245 0.245 0.245
In 0.755 0.755 0.755
Ga 0.000 0.000 0.000

Energy relative to the elements (eV per atom): -0.459


VASP calculation (PBE) on a geometry-optimized CdTc2Hg structure.

a b c (Å): 5.512 5.512 5.512
angles (deg): 145.49 132.23 60.26
Fractional coordinates of all 4 atoms:
Cd 0.000 0.000 0.000
Tc 0.251 0.751 0.500
Tc 0.749 0.249 0.500
Hg 0.500 0.500 0.000

E above lowest polymorph (meV per atom): 474
Energy relative to the elements (eV per atom): 0.649


Raw total energy across the listed records, respectively: -5.74; -6.82; -3.50; -6.14; -3.94; -4.84 eV per atom.